# Sr3GaCo2O6

A relaxed structure of Sr3GaCo2O6 (PBE with a Hubbard U, Alexandria).

Properties
- E_tot: -5.724 eV/atom

Lattice parameters (Å, degrees): 5.8045 5.8045 6.3747 90.00 90.00 120.00
Space group P-3m1 (No. 164)
Symmetry-distinct sites (fractional):
Sr  0.0000  0.0000  0.0000 x1
Sr  0.3333  0.6667  0.6489 x2
Ga  0.0000  0.0000  0.5000 x1
Co  0.3333  0.6667  0.2032 x2
O  0.1595  0.3190  0.3085 x6